This record from the Alexandria database describes a relaxed CuRuCl2 crystal. The functional is GGA-PBE.

a b c (Å): 4.614 4.614 4.614
angles (deg): 60.00 60.00 60.00
Atoms (fractional coordinates):
Cu: 0.000 0.000 0.000
Ru: 0.750 0.750 0.750
Cl: 0.250 0.250 0.250
Cl: 0.500 0.500 0.500

Values from the calculation:
Total energy: -3.39 eV/atom
Formation energy (no corrections): 0.873 eV/atom
Symmetry: F-43m